{"formula": "Sr2SnPt", "functional": "PBE", "state": "optimized geometry", "space_group": "Cmcm", "cell": [[1.974, -6.444, 0.000], [1.974, 6.444, 0.000], [0.000, 0.000, 9.387]], "species": ["Sr", "Sr", "Sr", "Sr", "Sn", "Sn", "Pt", "Pt"], "frac_coords": [[0.132, 0.868, 0.564], [0.132, 0.868, 0.936], [0.868, 0.132, 0.064], [0.868, 0.132, 0.436], [0.421, 0.579, 0.750], [0.579, 0.421, 0.250], [0.227, 0.773, 0.250], [0.773, 0.227, 0.750]]}

***

{"formula": "SrTmIn", "functional": "PBE", "state": "optimized geometry", "space_group": "F-43m", "cell": [[0.000, 3.734, 3.734], [3.734, 0.000, 3.734], [3.734, 3.734, 0.000]], "species": ["Sr", "Tm", "In"], "frac_coords": [[0.000, 0.000, 0.000], [0.750, 0.750, 0.750], [0.500, 0.500, 0.500]]}

***

{"formula": "ZrTeSeS", "functional": "PBE", "state": "optimized geometry", "space_group": "P2_1/m", "polymorph_energy_ev_per_fu": 0.000, "cell": [[5.391, 0.000, 0.000], [0.000, 3.794, 0.000], [-1.523, 0.000, 10.093]], "species": ["Zr", "Zr", "Te", "Te", "Se", "Se", "S", "S"], "frac_coords": [[0.220, 0.250, 0.365], [0.780, 0.750, 0.635], [0.390, 0.750, 0.164], [0.610, 0.250, 0.836], [0.068, 0.250, 0.785], [0.932, 0.750, 0.215], [0.267, 0.750, 0.544], [0.733, 0.250, 0.456]]}

***

{"formula": "LiGeAu2", "functional": "PBE", "state": "optimized geometry", "space_group": "P4/mmm", "cell": [[4.257, 0.000, 0.000], [0.000, 4.257, 0.000], [0.000, 0.000, 3.676]], "species": ["Li", "Ge", "Au", "Au"], "frac_coords": [[0.000, 0.000, 0.000], [0.500, 0.500, 0.000], [0.000, 0.500, 0.500], [0.500, 0.000, 0.500]]}

***

{"formula": "MgCuBiW", "functional": "PBE", "state": "optimized geometry", "space_group": "F-43m", "polymorph_energy_ev_per_fu": 0.000, "cell": [[0.000, 3.345, 3.345], [3.345, 0.000, 3.345], [3.345, 3.345, 0.000]], "species": ["Mg", "Cu", "Bi", "W"], "frac_coords": [[0.000, 0.000, 0.000], [0.250, 0.250, 0.250], [0.500, 0.500, 0.500], [0.750, 0.750, 0.750]]}

***

{"formula": "FeAgPbAu", "functional": "PBE", "state": "optimized geometry", "space_group": "F-43m", "polymorph_energy_ev_per_fu": 0.000, "cell": [[0.000, 3.363, 3.363], [3.363, 0.000, 3.363], [3.363, 3.363, 0.000]], "species": ["Fe", "Ag", "Pb", "Au"], "frac_coords": [[0.000, 0.000, 0.000], [0.500, 0.500, 0.500], [0.750, 0.750, 0.750], [0.250, 0.250, 0.250]]}

***

{"formula": "Li4Mg2HgAu", "functional": "PBE", "state": "optimized geometry", "space_group": "P-4m2", "cell": [[4.609, 0.000, 0.000], [0.000, 4.609, 0.000], [0.000, 0.000, 6.512]], "species": ["Li", "Li", "Li", "Li", "Mg", "Mg", "Hg", "Au"], "frac_coords": [[0.000, 0.000, 0.000], [0.000, 0.500, 0.243], [0.500, 0.000, 0.757], [0.500, 0.500, 0.500], [0.000, 0.500, 0.764], [0.500, 0.000, 0.236], [0.000, 0.000, 0.500], [0.500, 0.500, 0.000]]}

***

{"formula": "Cu3Au2", "functional": "PBE", "state": "optimized geometry", "space_group": "P4/m", "cell": [[6.200, 0.000, 0.000], [0.000, 6.200, 0.000], [0.000, 0.000, 3.744]], "species": ["Cu", "Cu", "Cu", "Cu", "Cu", "Cu", "Au", "Au", "Au", "Au"], "frac_coords": [[0.000, 0.000, 0.000], [0.094, 0.710, 0.500], [0.290, 0.094, 0.500], [0.500, 0.500, 0.500], [0.710, 0.906, 0.500], [0.906, 0.290, 0.500], [0.197, 0.389, 0.000], [0.389, 0.803, 0.000], [0.611, 0.197, 0.000], [0.803, 0.611, 0.000]]}

***

Number 1: calculated density 6.8 g/cm³, total energy -3.988 eV per atom. Number 2: calculated density 5.9 g/cm³, total energy -2.696 eV per atom. Number 3: calculated density 5.3 g/cm³, total energy -5.834 eV per atom. Number 4: calculated density 11.8 g/cm³, total energy -3.562 eV per atom. Number 5: calculated density 10.7 g/cm³, total energy -4.730 eV per atom. Number 6: calculated density 12.4 g/cm³, total energy -4.210 eV per atom. Number 7: calculated density 5.7 g/cm³, total energy -2.144 eV per atom. Number 8: calculated density 13.5 g/cm³, total energy -3.578 eV per atom.